This record from Alexandria describes an optimized crystal structure of Ca3OsN. The functional is GGA-PBE.

Unit cell a=4.7572 b=4.7572 c=4.7572 alpha=90.00 beta=90.00 gamma=90.00
Positions (direct):
Ca  0.0000  0.0000  0.5000
Ca  0.0000  0.5000  0.0000
Ca  0.5000  0.0000  0.0000
Os  0.5000  0.5000  0.5000
N  0.0000  0.0000  0.0000

- Calculated total energy: -5.01 eV/atom
- Formation energy without anion corrections: 0.5 eV/f.u.
- Symmetry: Pm-3m
- Energy above the most stable polymorph in this dataset: 0 meV per atom

This record from Alexandria describes an optimized crystal structure of Ca7OsN6. The functional is GGA-PBE.

Unit cell a=11.0786 b=6.2957 c=13.3787 alpha=90.00 beta=90.00 gamma=90.00
Positions (direct):
Ca  0.0000  0.0678  0.2500
Ca  0.0000  0.9322  0.7500
Ca  0.0358  0.2275  0.5182
Ca  0.0358  0.7725  0.0182
Ca  0.2105  0.3990  0.1112
Ca  0.2105  0.6010  0.6112
Ca  0.2215  0.3693  0.8715
Ca  0.2215  0.6307  0.3715
Ca  0.2785  0.1307  0.3715
Ca  0.2785  0.8693  0.8715
Ca  0.2895  0.1010  0.6112
Ca  0.2895  0.8990  0.1112
Ca  0.4642  0.2725  0.0182
Ca  0.4642  0.7275  0.5182
Ca  0.5000  0.4322  0.7500
Ca  0.5000  0.5678  0.2500
Ca  0.5358  0.2725  0.4818
Ca  0.5358  0.7275  0.9818
Ca  0.7105  0.1010  0.8888
Ca  0.7105  0.8990  0.3888
Ca  0.7215  0.1307  0.1285
Ca  0.7215  0.8693  0.6285
Ca  0.7785  0.3693  0.6285
Ca  0.7785  0.6307  0.1285
Ca  0.7895  0.3990  0.3888
Ca  0.7895  0.6010  0.8888
Ca  0.9642  0.2275  0.9818
Ca  0.9642  0.7725  0.4818
Os  0.0000  0.4224  0.7500
Os  0.0000  0.5776  0.2500
Os  0.5000  0.0776  0.2500
Os  0.5000  0.9224  0.7500
N  0.0298  0.4007  0.3644
N  0.0298  0.5993  0.8644
N  0.1294  0.2420  0.7009
N  0.1294  0.7580  0.2009
N  0.1682  0.0949  0.9878
N  0.1682  0.9051  0.4878
N  0.3318  0.4051  0.4878
N  0.3318  0.5949  0.9878
N  0.3706  0.2580  0.2009
N  0.3706  0.7420  0.7009
N  0.4702  0.0993  0.8644
N  0.4702  0.9007  0.3644
N  0.5298  0.0993  0.6356
N  0.5298  0.9007  0.1356
N  0.6294  0.2580  0.2991
N  0.6294  0.7420  0.7991
N  0.6682  0.4051  0.0122
N  0.6682  0.5949  0.5122
N  0.8318  0.0949  0.5122
N  0.8318  0.9051  0.0122
N  0.8706  0.2420  0.7991
N  0.8706  0.7580  0.2991
N  0.9702  0.4007  0.1356
N  0.9702  0.5993  0.6356

- Calculated total energy: -5.99 eV/atom
- Formation energy without anion corrections: -8.7 eV/f.u.
- Symmetry: Pbcn

Question: The lowest formation energy without anion corrections belongs to which entry?
Answer: Ca7OsN6

Question: formation energy without anion corrections of number 2 (Ca7OsN6)?
Answer: -8.7 eV/f.u.